1.
## Sm2Y7Sc2 (PBE-GGA)

Data for Sm2Y7Sc2 after structural relaxation.

abc: 6.5444 6.5444 8.5131
angles: 101.11 101.11 93.67
Fractional coordinates of all 11 atoms:
Sm 0.1820 0.8180 0.0000
Sm 0.8180 0.1820 0.0000
Y 0.0279 0.3932 0.6844
Y 0.3413 0.3413 0.0815
Y 0.3932 0.0279 0.6844
Y 0.5000 0.5000 0.5000
Y 0.6068 0.9721 0.3156
Y 0.6587 0.6587 0.9185
Y 0.9721 0.6068 0.3156
Sc 0.1171 0.1171 0.3378
Sc 0.8829 0.8829 0.6622

Energy of formation: 0.100 eV per atom
Total magnetization: 0.00 μB/cell
N(E_F): 1.84 states/eV/atom
Raw total energy: -6.023 eV/atom
Volume: 349.14 Å³ per cell

2.
## TlAsIrPbAuCl (PBE-GGA)

Data for TlAsIrPbAuCl after structural relaxation.

abc: 4.2069 4.2069 10.1789
angles: 102.11 102.11 59.69
Fractional coordinates of all 6 atoms:
Tl 0.0000 0.0000 0.0000
As 0.8795 0.8795 0.6536
Ir 0.5526 0.5526 0.6705
Pb 0.1416 0.1416 0.4435
Au 0.2729 0.2729 0.8280
Cl 0.7457 0.7457 0.2491

Formation energy without anion corrections: -0.235 eV per atom
Total magnetization: 0.00 μB/cell
N(E_F): 0.15 states/eV/atom
Raw total energy: -4.353 eV/atom
Volume: 150.89 Å³ per cell